# TbMgTe2

A relaxed TbMgTe2 crystal (PBE, the Alexandria database).

abc: 4.379 4.379 27.393
angles: 90.00 90.00 60.00
Fractional coordinates of all 12 atoms:
Tb1 0.329 0.000 0.167
Tb2 0.671 0.329 0.833
Tb3 0.000 0.671 0.500
Mg1 0.000 0.650 0.000
Mg2 0.650 0.350 0.333
Mg3 0.350 0.000 0.667
Te1 0.005 0.662 0.898
Te2 0.333 0.005 0.565
Te3 0.662 0.333 0.231
Te4 0.667 0.338 0.435
Te5 0.995 0.667 0.102
Te6 0.338 0.995 0.769

Computed properties:
The theoretical density is 4.80 g cm⁻³. The calculation puts the formation energy from raw total energies at -0.80 eV per atom. For the energy above the most stable polymorph in this dataset, the calculation gives 242 meV per atom. Its space group is No. 154.



# Dy2ZrPb

A relaxed Dy2ZrPb crystal (PBE, the Alexandria database).

abc: 4.690 4.743 4.743
angles: 90.00 90.00 90.00
Fractional coordinates of all 4 atoms:
Pb1 0.500 0.000 0.000
Zr1 0.500 0.500 0.500
Dy1 0.000 0.000 0.500
Dy2 0.000 0.500 0.000

Computed properties:
The theoretical density is 9.81 g cm⁻³. For the energy above the most stable polymorph in this dataset, the calculation gives 0 meV per atom. Its formation enthalpy at 0 K is -0.18 eV/atom. Its space group is No. 123.



# NdHoMnAg

A relaxed NdHoMnAg crystal (PBE, the Alexandria database).

abc: 5.162 5.162 5.162
angles: 60.00 60.00 60.00
Fractional coordinates of all 4 atoms:
Mn1 0.500 0.500 0.500
Nd1 0.250 0.250 0.250
Ho1 0.750 0.750 0.750
Ag1 0.000 0.000 0.000

Computed properties:
The theoretical density is 8.06 g cm⁻³. Its formation enthalpy at 0 K is 0.02 eV/atom. Its space group is No. 216.



# U3Tl4HgO12

A relaxed U3Tl4HgO12 crystal (PBE, the Alexandria database).

abc: 7.589 7.589 7.589
angles: 109.47 109.47 109.47
Fractional coordinates of all 20 atoms:
U1 0.500 0.000 0.500
U2 0.500 0.500 0.000
U3 0.000 0.500 0.500
Tl1 0.500 0.500 0.500
Tl2 0.000 0.000 0.500
Tl3 0.500 0.000 0.000
Tl4 0.000 0.500 0.000
Hg1 0.000 0.000 0.000
O1 0.250 0.500 0.750
O2 0.724 0.000 0.724
O3 0.276 0.000 0.276
O4 0.750 0.500 0.250
O5 0.724 0.724 0.000
O6 0.276 0.276 0.000
O7 0.750 0.250 0.500
O8 0.250 0.750 0.500
O9 0.500 0.250 0.750
O10 0.000 0.724 0.724
O11 0.500 0.750 0.250
O12 0.000 0.276 0.276

Computed properties:
The theoretical density is 9.50 g cm⁻³. The calculation puts the formation energy from raw total energies at -2.14 eV per atom. Its space group is No. 229.



> theoretical density of number 1 (TbMgTe2)?

4.80 g cm⁻³